The following is a DFT calculation (PBE) of Al2AgTe after structural relaxation.

Cell: 5.822 8.011 3.676 Å, 90.00 90.00 90.00°
Element x y z (fractional)
Al1 0.250 0.250 0.000
Al2 0.250 0.750 0.000
Al3 0.750 0.250 0.000
Al4 0.750 0.750 0.000
Ag1 0.000 0.000 0.500
Ag2 0.500 0.500 0.500
Te1 0.000 0.500 0.500
Te2 0.500 0.000 0.500

For the spin magnetization, the calculation gives 0.00 μB/f.u. As for the uncorrected formation energy: 0.1978 eV per atom. The calculation puts the density of states at the Fermi level at 0.38 states/eV/atom. Its space-group type is Cmmm.